DFT (GGA-PBE) results for a relaxed La14ErPb crystal.

Properties
E = -156.98 eV/cell
N(E_F) = 1.409 states/eV per atom
V = 35.1 Å³ per atom

CIF file:
```
data_La14ErPb
_chemical_formula_sum 'La28 Er2 Pb2'
_space_group_name_H-M_alt 'A m m 2'
_space_group_IT_number 38
_cell_length_a 10.445
_cell_length_b 10.376
_cell_length_c 10.376
_cell_angle_alpha 90.00
_cell_angle_beta 90.00
_cell_angle_gamma 90.00
loop_
_space_group_symop_operation_xyz
'x,y,z'
'-x,-y,z'
'-x,y,z'
'x,-y,z'
'x,y+1/2,z+1/2'
'-x,-y+1/2,z+1/2'
'-x,y+1/2,z+1/2'
'x,-y+1/2,z+1/2'
loop_
_atom_site_label
_atom_site_type_symbol
_atom_site_fract_x
_atom_site_fract_y
_atom_site_fract_z
La1 La 0.000 0.000 0.000
La2 La 0.000 0.000 0.498
La3 La 0.000 0.250 0.250
La4 La 0.255 0.000 0.753
La5 La 0.255 0.246 0.000
La6 La 0.256 0.000 0.246
La7 La 0.500 0.250 0.250
Er1 Er 0.500 0.000 0.500
Pb1 Pb 0.500 0.000 0.000
```

---

DFT (GGA-PBE) results for a relaxed LaEr2Pb crystal.

Properties
N(E_F) = 0.984 states/eV per atom
relative energy among the computed polymorphs = 206 meV per atom
V = 31.3 Å³ per atom

CIF file:
```
data_LaEr2Pb
_chemical_formula_sum 'La3 Er6 Pb3'
_space_group_name_H-M_alt 'R 3 m'
_space_group_IT_number 160
_space_group_name_Hall 'R 3 -2"'
_cell_length_a 3.6052
_cell_length_b 3.6052
_cell_length_c 33.4171
_cell_angle_alpha 90.00
_cell_angle_beta 90.00
_cell_angle_gamma 120.00
loop_
_atom_site_label
_atom_site_type_symbol
_atom_site_fract_x
_atom_site_fract_y
_atom_site_fract_z
La1 La 0.0000 0.0000 0.0000
Er1 Er 0.0000 0.0000 0.2440
Er2 Er 0.0000 0.0000 0.4222
Pb1 Pb 0.0000 0.0000 0.8333
```